A plane-wave DFT calculation with GGA-PBE was carried out for a relaxed Sr2NpNiS5 crystal.

Values from the calculation:
The value obtained for the uncorrected formation energy is -1.438 eV per atom. Its final energy is -6.19 eV/atom.

Unit cell a=8.843 b=8.843 c=12.320 alpha=90.00 beta=90.00 gamma=154.11
Fractional positions:
Sr 0.114 0.886 0.500
Sr 0.117 0.883 0.855
Sr 0.883 0.117 0.355
Sr 0.886 0.114 0.000
Np 0.196 0.804 0.182
Np 0.804 0.196 0.682
Ni 0.433 0.567 0.584
Ni 0.567 0.433 0.084
S 0.045 0.955 0.163
S 0.302 0.698 0.829
S 0.305 0.695 0.537
S 0.348 0.652 0.178
S 0.499 0.501 0.427
S 0.501 0.499 0.927
S 0.652 0.348 0.678
S 0.695 0.305 0.037
S 0.698 0.302 0.329
S 0.955 0.045 0.663

A plane-wave DFT calculation with GGA-PBE was carried out for a relaxed SrNpNiS3 crystal.

Values from the calculation:
The value obtained for the uncorrected formation energy is -1.421 eV per atom. Its final energy is -6.89 eV/atom.

Unit cell a=6.733 b=6.733 c=10.113 alpha=90.00 beta=90.00 gamma=146.28
Fractional positions:
Sr 0.244 0.756 0.750
Sr 0.756 0.244 0.250
Np 0.500 0.500 0.000
Np 0.500 0.500 0.500
Ni 0.027 0.973 0.250
Ni 0.973 0.027 0.750
S 0.136 0.864 0.072
S 0.136 0.864 0.428
S 0.431 0.569 0.250
S 0.569 0.431 0.750
S 0.864 0.136 0.572
S 0.864 0.136 0.928

A plane-wave DFT calculation with GGA-PBE was carried out for a relaxed Tb2NpNiS5 crystal.

Values from the calculation:
The value obtained for the uncorrected formation energy is -1.538 eV per atom. Its final energy is -6.94 eV/atom.

Unit cell a=8.438 b=8.438 c=11.682 alpha=90.00 beta=90.00 gamma=154.23
Fractional positions:
Tb 0.107 0.893 0.500
Tb 0.116 0.884 0.843
Tb 0.884 0.116 0.343
Tb 0.893 0.107 0.000
Np 0.176 0.824 0.178
Np 0.824 0.176 0.678
Ni 0.450 0.550 0.570
Ni 0.550 0.450 0.070
S 0.015 0.985 0.162
S 0.303 0.697 0.846
S 0.320 0.680 0.509
S 0.343 0.657 0.169
S 0.495 0.505 0.896
S 0.505 0.495 0.396
S 0.657 0.343 0.669
S 0.680 0.320 0.009
S 0.697 0.303 0.346
S 0.985 0.015 0.662

A plane-wave DFT calculation with GGA-PBE was carried out for a relaxed TbNp2NiS5 crystal.

Values from the calculation:
The value obtained for the uncorrected formation energy is -1.410 eV per atom. Its final energy is -7.74 eV/atom.

Unit cell a=8.400 b=8.400 c=11.622 alpha=90.00 beta=90.00 gamma=154.28
Fractional positions:
Tb 0.178 0.822 0.500
Tb 0.822 0.178 0.000
Np 0.107 0.893 0.823
Np 0.116 0.884 0.168
Np 0.884 0.116 0.668
Np 0.893 0.107 0.323
Ni 0.449 0.551 0.889
Ni 0.551 0.449 0.389
S 0.012 0.988 0.485
S 0.303 0.697 0.170
S 0.318 0.682 0.827
S 0.345 0.655 0.493
S 0.495 0.505 0.219
S 0.505 0.495 0.719
S 0.655 0.345 0.993
S 0.682 0.318 0.327
S 0.697 0.303 0.670
S 0.988 0.012 0.985

A plane-wave DFT calculation with GGA-PBE was carried out for a relaxed Np2TiNiS5 crystal.

Values from the calculation:
The value obtained for the uncorrected formation energy is -1.257 eV per atom. Its final energy is -7.95 eV/atom.

Unit cell a=8.060 b=8.060 c=11.247 alpha=90.00 beta=90.00 gamma=153.76
Fractional positions:
Np 0.111 0.889 0.500
Np 0.124 0.876 0.858
Np 0.876 0.124 0.358
Np 0.889 0.111 0.000
Ti 0.177 0.823 0.178
Ti 0.823 0.177 0.678
Ni 0.438 0.562 0.585
Ni 0.562 0.438 0.085
S 0.023 0.977 0.184
S 0.304 0.696 0.527
S 0.307 0.693 0.834
S 0.340 0.660 0.178
S 0.499 0.501 0.411
S 0.501 0.499 0.911
S 0.660 0.340 0.678
S 0.693 0.307 0.334
S 0.696 0.304 0.027
S 0.977 0.023 0.684

A plane-wave DFT calculation with GGA-PBE was carried out for a relaxed NpTiNiS3 crystal.

Values from the calculation:
The value obtained for the uncorrected formation energy is -1.160 eV per atom. Its final energy is -7.66 eV/atom.

Unit cell a=7.383 b=3.606 c=8.014 alpha=90.00 beta=104.09 gamma=90.00
Fractional positions:
Np 0.186 0.250 0.231
Np 0.814 0.750 0.769
Ti 0.320 0.750 0.829
Ti 0.680 0.250 0.171
Ni 0.097 0.250 0.594
Ni 0.903 0.750 0.406
S 0.102 0.250 0.868
S 0.242 0.750 0.515
S 0.440 0.750 0.156
S 0.560 0.250 0.844
S 0.758 0.250 0.485
S 0.898 0.750 0.132

A plane-wave DFT calculation with GGA-PBE was carried out for a relaxed Np2TlNiS4 crystal.

Values from the calculation:
The value obtained for the uncorrected formation energy is -1.057 eV per atom. Its final energy is -7.37 eV/atom.

Unit cell a=7.115 b=7.115 c=13.441 alpha=90.00 beta=90.00 gamma=148.01
Fractional positions:
Np 0.134 0.866 0.560
Np 0.134 0.866 0.940
Np 0.866 0.134 0.060
Np 0.866 0.134 0.440
Tl 0.398 0.602 0.750
Tl 0.602 0.398 0.250
Ni 0.330 0.670 0.250
Ni 0.670 0.330 0.750
S 0.081 0.919 0.750
S 0.240 0.760 0.111
S 0.240 0.760 0.389
S 0.500 0.500 0.000
S 0.500 0.500 0.500
S 0.760 0.240 0.611
S 0.760 0.240 0.889
S 0.919 0.081 0.250

A plane-wave DFT calculation with GGA-PBE was carried out for a relaxed Np4TlNi3S12 crystal.

Values from the calculation:
The value obtained for the uncorrected formation energy is -0.741 eV per atom. Its final energy is -6.79 eV/atom.

Unit cell a=8.315 b=8.315 c=8.315 alpha=109.47 beta=109.47 gamma=109.47
Fractional positions:
Np 0.000 0.000 0.500
Np 0.000 0.500 0.000
Np 0.500 0.000 0.000
Np 0.500 0.500 0.500
Tl 0.000 0.000 0.000
Ni 0.000 0.500 0.500
Ni 0.500 0.000 0.500
Ni 0.500 0.500 0.000
S 0.160 0.330 0.490
S 0.160 0.670 0.830
S 0.170 0.840 0.330
S 0.330 0.170 0.840
S 0.330 0.490 0.160
S 0.490 0.160 0.330
S 0.510 0.840 0.670
S 0.670 0.510 0.840
S 0.670 0.830 0.160
S 0.830 0.160 0.670
S 0.840 0.330 0.170
S 0.840 0.670 0.510

A plane-wave DFT calculation with GGA-PBE was carried out for a relaxed Np3Tl4NiS8 crystal.

Values from the calculation:
The value obtained for the uncorrected formation energy is -0.805 eV per atom. Its final energy is -6.25 eV/atom.

Unit cell a=8.807 b=8.807 c=8.807 alpha=52.94 beta=52.94 gamma=52.94
Fractional positions:
Np 0.000 0.500 0.500
Np 0.500 0.000 0.500
Np 0.500 0.500 0.000
Tl 0.000 0.000 0.500
Tl 0.000 0.500 0.000
Tl 0.500 0.000 0.000
Tl 0.500 0.500 0.500
Ni 0.000 0.000 0.000
S 0.222 0.222 0.742
S 0.222 0.742 0.222
S 0.258 0.778 0.778
S 0.267 0.267 0.267
S 0.733 0.733 0.733
S 0.742 0.222 0.222
S 0.778 0.258 0.778
S 0.778 0.778 0.258

Here are the calculated total magnetization numbers, same order: 0.20, 0.50, 0.34, 0.78, 0.84, 0.70, 0.87, 0.55, 0.72 (μB per atom).